# 1
Density functional theory data (PBE-GGA) for a relaxed structure of Sr2PPt. Values from VASP.

Cell and atoms, written as Quantum ESPRESSO input:
```
&SYSTEM
  ibrav = 0, nat = 4, ntyp = 3
/
ATOMIC_SPECIES
Sr 87.62 Sr.upf
P 30.97 P.upf
Pt 195.08 Pt.upf
CELL_PARAMETERS angstrom
0.0000 3.6047 3.6047
3.6047 0.0000 3.6047
3.6047 3.6047 0.0000
ATOMIC_POSITIONS angstrom
Sr 0.0000 0.0000 0.0000
Sr 5.4070 5.4070 5.4070
P 3.6047 3.6047 3.6047
Pt 1.8023 1.8023 1.8023
```

Calculated values
- energy of formation (meV per atom) = -319.7
- DFT total energy (Ry/atom) = -0.296
- magnetization (μB/f.u.) = 0.00
- DOS at the Fermi energy (states/eV/atom) = 0.667

***

# 2
Density functional theory data (PBE-GGA) for a relaxed structure of Ho4TlC2. Values from VASP.

Cell and atoms, written as Quantum ESPRESSO input:
```
&SYSTEM
  ibrav = 0, nat = 7, ntyp = 3
/
ATOMIC_SPECIES
Ho 164.93 Ho.upf
Tl 204.38 Tl.upf
C 12.01 C.upf
CELL_PARAMETERS angstrom
3.5882 0.0000 0.0000
1.7941 3.1075 0.0000
1.7941 1.0358 14.2916
ATOMIC_POSITIONS angstrom
Ho 1.7941 1.0358 8.9649
Ho 1.7941 1.0358 2.6500
Ho 5.3823 3.1075 11.6416
Ho 5.3823 3.1075 5.3267
Tl 0.0000 0.0000 0.0000
C 3.5882 2.0717 10.2383
C 3.5882 2.0717 4.0532
```

Calculated values
- energy of formation (meV per atom) = -352.3
- DFT total energy (Ry/atom) = -0.437
- magnetization (μB/f.u.) = 0.00
- DOS at the Fermi energy (states/eV/atom) = 0.572